1.
SrCoH2F8 PBE with a Hubbard U optimized geometry; volume = 12.9 A^3/atom; final energy = -0.1652 hartree per atom; SG = P-1, No. 2
1.0
4.7971 0.0000 0.0000
-1.7528 4.7905 0.0000
-0.3253 -1.5474 6.7150
Sr Co H F
1 1 2 8
direct
0.0000 0.0000 0.0000
0.0000 0.0000 0.5000
0.2878 0.5194 0.8107
0.7122 0.4806 0.1893
0.2105 0.7763 0.4730
0.2236 0.2087 0.3398
0.2471 0.2368 0.7321
0.3231 0.6998 0.9173
0.6769 0.3002 0.0827
0.7529 0.7632 0.2679
0.7764 0.7913 0.6602
0.7895 0.2237 0.5270

2.
Tl2CoH2F6 PBE with a Hubbard U optimized geometry; volume = 14.4 A^3/atom; final energy = -0.1573 hartree per atom; SG = C2/m, No. 12
1.0
4.7144 -2.9526 0.0000
4.7144 2.9526 0.0000
-4.1348 0.0000 5.6894
Tl Co H F
2 1 2 6
direct
0.2446 0.2446 0.2147
0.7554 0.7554 0.7853
0.0000 0.0000 0.5000
0.3797 0.3797 0.7386
0.6203 0.6203 0.2614
0.2137 0.7226 0.6677
0.2774 0.7863 0.3323
0.3020 0.3020 0.7872
0.6980 0.6980 0.2128
0.7226 0.2137 0.6677
0.7863 0.2774 0.3323

3.
ZrCoH2F PBE with a Hubbard U optimized geometry; volume = 9.5 A^3/atom; final energy = -0.1712 hartree per atom; SG = P4/mmm, No. 123
1.0
3.2162 0.0000 0.0000
0.0000 3.2162 0.0000
0.0000 0.0000 4.6162
Zr Co H F
1 1 2 1
direct
0.0000 0.0000 0.0000
0.5000 0.5000 0.5000
0.0000 0.5000 0.5000
0.5000 0.0000 0.5000
0.5000 0.5000 0.0000

4.
HfCoF2 PBE with a Hubbard U optimized geometry; volume = 15.9 A^3/atom; excess energy over the best structure of this formula in the dataset = 0.0 kJ/mol of atoms; SG = R-3m, No. 166
1.0
1.4307 0.8260 8.9432
-1.4307 0.8260 8.9432
0.0000 -1.6520 8.9432
Hf Co F
1 1 2
direct
0.0000 0.0000 0.0000
0.5000 0.5000 0.5000
0.3907 0.3907 0.3907
0.6093 0.6093 0.6093

5.
HfCoF2 PBE with a Hubbard U optimized geometry; volume = 15.1 A^3/atom; excess energy over the best structure of this formula in the dataset = 6.1 kJ/mol of atoms; SG = R-3m, No. 166
1.0
1.7071 0.9856 6.0020
-1.7071 0.9856 6.0020
0.0000 -1.9711 6.0020
Hf Co F
1 1 2
direct
0.0000 0.0000 0.0000
0.5000 0.5000 0.5000
0.1146 0.1146 0.1146
0.8854 0.8854 0.8854

6.
HfCo3F PBE with a Hubbard U optimized geometry; volume = 19.7 A^3/atom; excess energy over the best structure of this formula in the dataset = 115.5 kJ/mol of atoms; SG = Pm-3m, No. 221
1.0
4.6189 0.0000 0.0000
0.0000 4.6189 0.0000
0.0000 0.0000 4.6189
Hf Co F
1 3 1
direct
0.0000 0.0000 0.0000
0.0000 0.0000 0.5000
0.0000 0.5000 0.0000
0.5000 0.0000 0.0000
0.5000 0.5000 0.5000

7.
HfCoF2 PBE with a Hubbard U optimized geometry; volume = 12.8 A^3/atom; excess energy over the best structure of this formula in the dataset = 69.2 kJ/mol of atoms; SG = Fm-3m, No. 225
1.0
0.0000 2.9494 2.9494
2.9494 0.0000 2.9494
2.9494 2.9494 0.0000
Hf Co F
1 1 2
direct
0.0000 0.0000 0.0000
0.5000 0.5000 0.5000
0.2500 0.2500 0.2500
0.7500 0.7500 0.7500

8.
Hf3CoF PBE with a Hubbard U optimized geometry; volume = 16.9 A^3/atom; excess energy over the best structure of this formula in the dataset = 0.0 kJ/mol of atoms; SG = Pm-3m, No. 221
1.0
4.3908 0.0000 0.0000
0.0000 4.3908 0.0000
0.0000 0.0000 4.3908
Hf Co F
3 1 1
direct
0.0000 0.0000 0.5000
0.0000 0.5000 0.0000
0.5000 0.0000 0.0000
0.5000 0.5000 0.5000
0.0000 0.0000 0.0000

9.
HfCoF2 PBE with a Hubbard U optimized geometry; volume = 14.0 A^3/atom; excess energy over the best structure of this formula in the dataset = 1.7 kJ/mol of atoms; SG = I-42d, No. 122
1.0
-1.9459 1.9459 7.4190
1.9459 -1.9459 7.4190
1.9459 1.9459 -7.4190
Hf Co F
2 2 4
direct
0.0000 0.0000 0.0000
0.7500 0.2500 0.5000
0.2500 0.7500 0.5000
0.5000 0.5000 0.0000
0.0500 0.6250 0.9250
0.3750 0.3000 0.4250
0.7000 0.1250 0.0750
0.8750 0.9500 0.5750

10.
HfCo3F PBE with a Hubbard U optimized geometry; volume = 14.2 A^3/atom; excess energy over the best structure of this formula in the dataset = 0.0 kJ/mol of atoms; SG = Pm-3m, No. 221
1.0
4.1422 0.0000 0.0000
0.0000 4.1422 0.0000
0.0000 0.0000 4.1422
Hf Co F
1 3 1
direct
0.0000 0.0000 0.0000
0.0000 0.5000 0.5000
0.5000 0.0000 0.5000
0.5000 0.5000 0.0000
0.5000 0.5000 0.5000

11.
Hf2CoF PBE with a Hubbard U optimized geometry; volume = 18.2 A^3/atom; excess energy over the best structure of this formula in the dataset = 2.1 kJ/mol of atoms; SG = I-42d, No. 122
1.0
-2.5077 2.5077 5.7819
2.5077 -2.5077 5.7819
2.5077 2.5077 -5.7819
Hf Co F
4 2 2
direct
0.1036 0.6250 0.9786
0.3750 0.3536 0.4786
0.6464 0.1250 0.0214
0.8750 0.8964 0.5214
0.2500 0.7500 0.5000
0.5000 0.5000 0.0000
0.0000 0.0000 0.0000
0.7500 0.2500 0.5000

12.
Hf2CoF PBE with a Hubbard U optimized geometry; volume = 15.3 A^3/atom; excess energy over the best structure of this formula in the dataset = 0.0 kJ/mol of atoms; SG = Fm-3m, No. 225
1.0
0.0000 3.1288 3.1288
3.1288 0.0000 3.1288
3.1288 3.1288 0.0000
Hf Co F
2 1 1
direct
0.2500 0.2500 0.2500
0.7500 0.7500 0.7500
0.0000 0.0000 0.0000
0.5000 0.5000 0.5000